P.
Compound: Be2Al
Source: Alexandria via LeMat-Bulk
Functional: PBE
Structure: relaxed

Unit cell a=3.488 b=3.488 c=5.486 alpha=90.00 beta=90.00 gamma=90.00
Positions (direct):
1 Be 0.000 0.500 0.239
2 Be 0.500 0.000 0.761
3 Be 0.500 0.500 0.000
4 Be 0.000 0.000 0.000
5 Al 0.500 0.000 0.329
6 Al 0.000 0.500 0.671

Summary:
SG: No. 129
density of states at the Fermi level: 0.47 states/eV/f.u.



Q.
Compound: Be2Al
Source: Alexandria via LeMat-Bulk
Functional: PBE
Structure: relaxed

Unit cell a=5.183 b=5.183 c=5.523 alpha=76.09 beta=76.09 gamma=27.97
Positions (direct):
1 Be 0.796 0.796 0.638
2 Be 0.204 0.204 0.362
3 Be 0.168 0.168 0.964
4 Be 0.832 0.832 0.036
5 Al 0.522 0.522 0.728
6 Al 0.478 0.478 0.272

Summary:
SG: No. 12
density of states at the Fermi level: 0.53 states/eV/f.u.



R.
Compound: Be2Al
Source: Alexandria via LeMat-Bulk
Functional: PBE
Structure: relaxed

Unit cell a=6.295 b=6.295 c=4.122 alpha=90.00 beta=90.00 gamma=155.68
Positions (direct):
1 Be 0.940 0.060 0.750
2 Be 0.717 0.283 0.250
3 Be 0.283 0.717 0.750
4 Be 0.060 0.940 0.250
5 Al 0.609 0.391 0.750
6 Al 0.391 0.609 0.250

Summary:
SG: No. 63
density of states at the Fermi level: 0.88 states/eV/f.u.



It is R that is the least stable of them.